The following is a PBE-GGA calculation of crystalline TaFePt2 at its relaxed geometry, from Alexandria via LeMat-Bulk.

The structure belongs to space group Fm-3m (No. 225); the cell edges are 6.316, 6.316 and 6.316 Å and the angles 90.00°, 90.00° and 90.00°. Symmetry generates all atoms from Ta at (0.000, 0.000, 0.000), Fe at (0.000, 0.000, 0.500) and Pt at (0.250, 0.250, 0.250).

As for the distance to the lowest polymorph of the same formula: 28.5 kJ per mole of atoms. The value obtained for the total energy is -8.3786 eV per atom. Its spin magnetization is 11.75 μB per cell. The value obtained for the calculated density is 16.53 g cm⁻³. The value obtained for the formation energy is -279 meV/atom.

=====

The following is a PBE-GGA calculation of crystalline Pm2GeSb at its relaxed geometry, from Alexandria via LeMat-Bulk.

The structure belongs to space group Pmna (No. 53); the cell edges are 6.206, 6.206 and 12.373 Å and the angles 90.00°, 90.00° and 90.00°. Symmetry generates all atoms from Pm at (0.000, 0.249, 0.120), Pm at (0.000, 0.251, 0.630), Ge at (0.000, 0.251, 0.875) and Sb at (0.000, 0.249, 0.375).

As for the distance to the lowest polymorph of the same formula: 7.4 kJ per mole of atoms. The value obtained for the total energy is -5.4536 eV per atom. Its spin magnetization is 0.00 μB per cell. For the formation energy without anion corrections, the calculation gives -345 kJ/mol of formula units. The value obtained for the calculated density is 6.75 g cm⁻³.

=====

The following is a PBE-GGA calculation of crystalline DyTm2PuN4 at its relaxed geometry, from Alexandria via LeMat-Bulk.

The structure belongs to space group P2/m (No. 10); the cell edges are 5.942, 3.444 and 5.943 Å and the angles 90.00°, 109.39° and 90.00°. Symmetry generates all atoms from Dy at (0.000, 0.000, 0.000), Tm at (0.000, 0.500, 0.500), Tm at (0.500, 0.000, 0.500), Pu at (0.500, 0.500, 0.000), N at (0.253, 0.000, 0.750) and N at (0.255, 0.500, 0.252).

The value obtained for the total energy is -9.2800 eV per atom. Its spin magnetization is 4.73 μB per cell. For the formation energy without anion corrections, the calculation gives -1260 kJ/mol of formula units. The value obtained for the calculated density is 11.58 g cm⁻³.